No. 1
Entry from Alexandria: a crystal of Cd3Pt relaxed with PBEsol (SCAN).

Cell and atoms, written as POSCAR:
```
Cd3Pt
1.0
-0.2398 -3.9265 -1.1643
1.3246 1.0288 -3.7424
3.4975 0.8286 3.7128
Pt Cd
1 3
Direct
0.0000 0.5000 0.0000 Pt
0.2500 0.2500 0.5000 Cd
0.7500 0.7500 0.5000 Cd
0.5000 0.0000 0.0000 Cd
```

Output
Its space group is I4/mmm. For the density of states at the Fermi level, the calculation gives 0.254 states/eV per atom. The value obtained for the calculated formation energy is -0.241 eV per atom.



No. 2
Entry from Alexandria: a crystal of TlInPb relaxed with PBEsol (SCAN).

Cell and atoms, written as POSCAR:
```
TlInPb
1.0
3.4741 0.0000 0.0000
0.0000 3.4741 0.0000
-1.7370 -1.7370 6.9024
Pb Tl In
1 1 1
Direct
0.6626 0.6626 0.3251 Pb
0.3376 0.3376 0.6752 Tl
0.9998 0.9998 0.9997 In
```

Output
Its space group is I4mm. For the density of states at the Fermi level, the calculation gives 0.527 states/eV per atom. The energy above the lowest structure with this stoichiometry is 0.000 eV/f.u. The value obtained for the calculated formation energy is 0.036 eV per atom.